DFT (GGA-PBE) results for NbV2Re2 after structural relaxation.

Unit cell a=3.1661 b=15.8530 c=3.0988 alpha=90.00 beta=90.00 gamma=90.00
Closest atoms and distances in Å follow each position.
Space group Cmmm (No. 65)
One atom of each set of equivalent atoms:
Nb: 0.0000 0.0000 0.0000 x2  8 Re 2.77, 2 V 3.03, 2 Nb 3.10
V: 0.0000 0.1908 0.0000 x4  2 V 2.45, 4 Re 2.60
Re: 0.0000 0.3949 0.5000 x4  4 V 2.60, 4 Nb 2.77

## Properties
* energy above the lowest structure with this stoichiometry: 0 meV/atom



DFT (GGA-PBE) results for EuHgPb2 after structural relaxation.

Unit cell a=4.0763 b=4.0763 c=7.2564 alpha=90.00 beta=90.00 gamma=90.00
Closest atoms and distances in Å follow each position.
Space group P4/mmm (No. 123)
One atom of each set of equivalent atoms:
Eu: 0.0000 0.0000 0.0000 x1  8 Pb 3.53, 2 Hg 3.63
Hg: 0.0000 0.0000 0.5000 x1  8 Pb 3.29, 2 Eu 3.63
Pb: 0.5000 0.5000 0.2808 x2  1 Pb 3.18, 4 Hg 3.29, 4 Eu 3.53

## Properties
* energy above the lowest structure with this stoichiometry: 149 meV/atom



DFT (GGA-PBE) results for SmInPt6 after structural relaxation.

Unit cell a=5.2656 b=5.2656 c=5.2656 alpha=90.00 beta=90.00 gamma=90.00
Closest atoms and distances in Å follow each position.
Space group Pm-3 (No. 200)
One atom of each set of equivalent atoms:
Sm: 0.0000 0.0000 0.0000 x1  12 Pt 2.95
In: 0.5000 0.5000 0.5000 x1  12 Pt 2.94
Pt: 0.0000 0.2519 0.5000 x6  2 Pt 2.61-2.65

## Properties
* energy above the lowest structure with this stoichiometry: 342 meV/atom



DFT (GGA-PBE) results for GePb3Cl8 after structural relaxation.

Unit cell a=5.7433 b=9.4089 c=9.6001 alpha=68.83 beta=89.16 gamma=73.91
Closest atoms and distances in Å follow each position.
Space group P1 (No. 1)
One atom of each set of equivalent atoms:
Ge: 0.0000 0.0000 0.0000 x1  3 Cl 2.30-2.57
Pb: 0.6091 0.8093 0.4159 x1  5 Cl 2.69-2.94
Pb: 0.7073 0.6292 0.0021 x1  5 Cl 2.80-2.99
Pb: 0.9220 0.1912 0.4118 x1  6 Cl 2.81-3.09
Cl: 0.0771 0.8712 0.3967 x1  3 Pb 2.89-2.95
Cl: 0.1634 0.7251 0.9809 x1  1 Ge 2.57
Cl: 0.4593 0.1265 0.4306 x1  3 Pb 2.88-2.97
Cl: 0.6037 0.9583 0.0481 x1  1 Ge 2.42
Cl: 0.7004 0.6280 0.7106 x1  2 Pb 2.69-2.80
Cl: 0.7330 0.5300 0.3316 x1  3 Pb 2.88-2.95
Cl: 0.8734 0.2972 0.0974 x1  2 Pb 2.80-2.81
Cl: 0.9040 0.1436 0.7466 x1  1 Ge 2.30

## Properties
* formation energy without anion corrections: -1.042 eV/atom



DFT (GGA-PBE) results for NbNi2Ge after structural relaxation.

Unit cell a=3.7327 b=3.7327 c=17.0113 alpha=90.00 beta=90.00 gamma=90.00
Closest atoms and distances in Å follow each position.
Space group I-42d (No. 122)
One atom of each set of equivalent atoms:
Nb: 0.0000 0.0000 0.0000 x4  4 Ni 2.53, 4 Ge 2.64
Ni: 0.2311 0.2500 0.6250 x8  2 Ge 2.48, 2 Nb 2.53, 4 Ni 2.54-2.74
Ge: 0.0000 0.0000 0.5000 x4  4 Ni 2.48, 4 Nb 2.64

## Properties
* total energy: -6.528 eV/atom



DFT (GGA-PBE) results for Cd4SnPb after structural relaxation.

Unit cell a=4.9014 b=17.1990 c=8.0548 alpha=90.00 beta=90.00 gamma=90.00
Closest atoms and distances in Å follow each position.
Space group Cmcm (No. 63)
One atom of each set of equivalent atoms:
Cd: 0.0000 0.0000 0.0000 x4  2 Sn 3.00, 4 Cd 3.22
Cd: 0.0000 0.2186 0.0663 x8  3 Cd 2.88-2.96, 1 Sn 2.98, 2 Pb 3.13
Cd: 0.0000 0.4665 0.2500 x4  2 Sn 2.95, 1 Pb 3.06, 4 Cd 3.22
Sn: 0.0000 0.1290 0.7500 x4  6 Cd 2.95-3.00
Pb: 0.0000 0.3553 0.7500 x4  5 Cd 3.06-3.13

## Properties
* energy above the lowest structure with this stoichiometry: 54 meV/atom